Sm4CoSI2 | PBE-GGA | optimized geometry

a b c (Å): 7.3901 3.9971 8.1090
angles (deg): 90.00 106.82 90.00
Closest atoms and distances in Å follow each position.
Fractional positions:
Sm1 0.2036 0.0000 0.1823  2 Co 2.68, 1 S 2.98
Sm2 0.2596 0.5000 0.8147  1 Co 2.76, 2 S 2.80
Sm3 0.7404 0.5000 0.1853  1 Co 2.76, 2 S 2.80
Sm4 0.7964 0.0000 0.8177  2 Co 2.68, 1 S 2.98
Co1 0.0000 0.5000 0.0000  6 Sm 2.68-2.76
S1 0.5000 0.0000 0.0000  6 Sm 2.80-2.98
I1 0.0000 0.0000 0.5000  6 Sm 3.34-3.37
I2 0.5000 0.5000 0.5000  6 Sm 3.49-3.51

Energy relative to the elements, uncorrected (eV per atom): -1.020
Mass density (Mg/m³): 6.85
D(E_F) (states/eV/cell): 4.7
Space-group type: P2/m

---

CoTe2SI | PBE-GGA | optimized geometry

a b c (Å): 5.2457 5.2457 5.5026
angles (deg): 90.00 90.00 90.00
Closest atoms and distances in Å follow each position.
Fractional positions:
Co1 0.0000 0.0000 0.0000  4 I 3.71, 8 Te 3.80
Te1 0.0000 0.5000 0.5000  2 S 2.62
Te2 0.5000 0.0000 0.5000  2 S 2.62
S1 0.5000 0.5000 0.5000  4 Te 2.62, 2 I 2.75
I1 0.5000 0.5000 0.0000  2 S 2.75

Energy relative to the elements, uncorrected (eV per atom): 1.025
Mass density (Mg/m³): 5.19
D(E_F) (states/eV/cell): 7.5
E above lowest polymorph (eV/f.u.): 2.069
Space-group type: P4/mmm

---

CoTeSI2 | PBE-GGA | optimized geometry

a b c (Å): 5.1850 5.1850 4.9301
angles (deg): 90.00 90.00 90.00
Closest atoms and distances in Å follow each position.
Fractional positions:
Co1 0.0000 0.0000 0.0000  2 Te 2.47, 4 I 2.59
Te1 0.0000 0.0000 0.5000  2 Co 2.47
S1 0.5000 0.5000 0.5000  8 I 3.58, 4 Te 3.67
I1 0.0000 0.5000 0.0000  2 Co 2.59
I2 0.5000 0.0000 0.0000  2 Co 2.59

Energy relative to the elements, uncorrected (eV per atom): 0.648
Mass density (Mg/m³): 5.92
D(E_F) (states/eV/cell): 7.3
E above lowest polymorph (eV/f.u.): 0.000
Space-group type: P4/mmm

---

CoTe2SI | PBE-GGA | optimized geometry

a b c (Å): 4.9847 4.9847 5.1201
angles (deg): 90.00 90.00 90.00
Closest atoms and distances in Å follow each position.
Fractional positions:
Co1 0.0000 0.0000 0.0000  4 Te 2.49, 2 I 2.56
Te1 0.0000 0.5000 0.0000  2 Co 2.49
Te2 0.5000 0.0000 0.0000  2 Co 2.49
S1 0.5000 0.5000 0.5000  4 I 3.52, 8 Te 3.57
I1 0.0000 0.0000 0.5000  2 Co 2.56

Energy relative to the elements, uncorrected (eV per atom): 0.611
Mass density (Mg/m³): 6.18
D(E_F) (states/eV/cell): 6.6
E above lowest polymorph (eV/f.u.): 0.000
Space-group type: P4/mmm

---

Per-record total energy, eV per atom: -5.17; -2.79; -2.85; -3.20